Computed, not measured: a relaxed Na2Ga3Ag crystal at the GGA-PBE level of DFT.

Results
Calculated total energy   -2.56 eV/atom
Mass density   4.68 g/cm3
Fermi-level density of states   1.84 states/eV per cell
Energy relative to the elements   -0.13 eV/atom
Magnetization   0.0 μB/f.u.

Cell lengths 4.5079, 5.7506, 5.8586 Å; angles 78.93, 67.37, 66.92 degrees
Fractional coordinates of all 6 atoms:
1 Ag 0.1568 0.4059 0.2805
2 Na 0.5654 0.1895 0.6797
3 Na 0.4363 0.8133 0.3140
4 Ga 0.8341 0.5946 0.7372
5 Ga 0.1639 0.7739 0.8983
6 Ga 0.8433 0.2229 0.0904



Computed, not measured: a relaxed La5CdCu2 crystal at the GGA-PBE level of DFT.

Results
Calculated total energy   -4.36 eV/atom
Mass density   6.63 g/cm3
Fermi-level density of states   20.82 states/eV per cell
Energy relative to the elements   -0.14 eV/atom
Magnetization   0.0 μB/f.u.

Cell lengths 8.4018, 8.4018, 8.9029 Å; angles 118.15, 118.15, 90.00 degrees
Fractional coordinates of all 16 atoms:
1 La 0.4867 0.2984 0.2851
2 La 0.9867 0.4867 0.2851
3 La 0.7984 0.9867 0.2851
4 La 0.2984 0.7984 0.2851
5 La 0.5000 0.5000 0.0000
6 La 0.2016 0.0133 0.7149
7 La 0.0000 0.0000 0.0000
8 La 0.7016 0.2016 0.7149
9 La 0.5133 0.7016 0.7149
10 La 0.0133 0.5133 0.7149
11 Cu 0.6263 0.1263 0.0000
12 Cu 0.3737 0.8737 0.0000
13 Cu 0.8737 0.6263 0.0000
14 Cu 0.1263 0.3737 0.0000
15 Cd 0.7500 0.7500 0.5000
16 Cd 0.2500 0.2500 0.5000



Computed, not measured: a relaxed LiMgH4Ru crystal at the GGA-PBE level of DFT.

Results
Calculated total energy   -4.02 eV/atom
Mass density   3.66 g/cm3
Fermi-level density of states   3.18 states/eV per cell
Magnetization   0.0 μB/f.u.

Cell lengths 4.9710, 5.0143, 5.5533 Å; angles 90.00, 116.59, 90.00 degrees
Fractional coordinates of all 14 atoms:
1 H 0.5802 0.2500 0.1603
2 H 0.0000 0.0000 0.5000
3 H 0.5000 0.0000 0.5000
4 H 0.0730 0.7500 0.1460
5 H 0.9270 0.2500 0.8540
6 H 0.4198 0.7500 0.8397
7 H 0.0000 0.5000 0.5000
8 H 0.5000 0.5000 0.5000
9 Mg 0.1194 0.2500 0.2387
10 Mg 0.8806 0.7500 0.7613
11 Ru 0.7523 0.2500 0.5047
12 Ru 0.2477 0.7500 0.4953
13 Li 0.3944 0.2500 0.7888
14 Li 0.6056 0.7500 0.2112



Computed, not measured: a relaxed Tb6Sn2TeSe3 crystal at the GGA-PBE level of DFT.

Results
Uncorrected formation energy   -1360 meV/atom
Calculated total energy   -5.48 eV/atom
Mass density   7.86 g/cm3
Fermi-level density of states   4.55 states/eV per cell
Magnetization   0.0 μB/f.u.

Cell lengths 4.2601, 8.5359, 9.5077 Å; angles 102.54, 102.95, 90.00 degrees
Fractional coordinates of all 12 atoms:
1 Tb 0.0006 0.2674 0.0012
2 Tb 0.3354 0.4120 0.6708
3 Tb 0.9994 0.7326 0.9988
4 Tb 0.6715 0.0846 0.3430
5 Tb 0.3285 0.9154 0.6570
6 Tb 0.6646 0.5880 0.3292
7 Sn 0.1669 0.3335 0.3338
8 Sn 0.8331 0.6665 0.6662
9 Te 0.5000 0.0000 0.0000
10 Se 0.5000 0.5000 0.0000
11 Se 0.1643 0.8353 0.3286
12 Se 0.8357 0.1647 0.6714



Computed, not measured: a relaxed SnI crystal at the GGA-PBE level of DFT.

Results
Uncorrected formation energy   -209 meV/atom
Calculated total energy   -2.99 eV/atom
Mass density   4.56 g/cm3
Fermi-level density of states   0.09 states/eV per cell
Magnetization   0.0 μB/f.u.

Cell lengths 4.2776, 5.1835, 9.1361 Å; angles 83.74, 76.31, 65.47 degrees
Fractional coordinates of all 4 atoms:
1 Sn 0.2662 0.0309 0.8259
2 Sn 0.9107 0.6126 0.9547
3 I 0.8254 0.1492 0.5892
4 I 0.3482 0.4984 0.1919



Computed, not measured: a relaxed Ga5W2 crystal at the GGA-PBE level of DFT.

Results
Calculated total energy   -5.81 eV/atom
Mass density   10.39 g/cm3
Fermi-level density of states   7.66 states/eV per cell
Energy relative to the elements   0.05 eV/atom
Magnetization   0.0 μB/f.u.

Cell lengths 9.1617, 9.1617, 2.7283 Å; angles 90.00, 90.00, 90.00 degrees
Fractional coordinates of all 14 atoms:
1 Ga 0.7014 0.4412 0.0000
2 Ga 0.0588 0.7986 0.0000
3 Ga 0.0000 0.5000 0.0000
4 Ga 0.2014 0.0588 0.0000
5 Ga 0.2986 0.5588 0.0000
6 Ga 0.7986 0.9412 0.0000
7 Ga 0.5000 0.0000 0.0000
8 Ga 0.9412 0.2014 0.0000
9 Ga 0.4412 0.2986 0.0000
10 Ga 0.5588 0.7014 0.0000
11 W 0.6793 0.1793 0.5000
12 W 0.1793 0.3207 0.5000
13 W 0.8207 0.6793 0.5000
14 W 0.3207 0.8207 0.5000



Computed, not measured: a relaxed Hf2InSn crystal at the GGA-PBE level of DFT.

Results
Calculated total energy   -6.67 eV/atom
Mass density   11.05 g/cm3
Fermi-level density of states   5.76 states/eV per cell
Energy relative to the elements   -0.01 eV/atom
Magnetization   0.0 μB/f.u.

Cell lengths 5.0067, 5.0067, 5.0067 Å; angles 60.00, 60.00, 60.00 degrees
Fractional coordinates of all 4 atoms:
1 Hf 0.7500 0.7500 0.7500
2 Hf 0.2500 0.2500 0.2500
3 In 0.0000 0.0000 0.0000
4 Sn 0.5000 0.5000 0.5000



Computed, not measured: a relaxed Zr2ReCl crystal at the GGA-PBE level of DFT.

Results
Uncorrected formation energy   663 meV/atom
Calculated total energy   -7.18 eV/atom
Mass density   8.85 g/cm3
Fermi-level density of states   5.90 states/eV per cell
Magnetization   0.6 μB/f.u.

Cell lengths 4.7513, 4.7513, 4.7513 Å; angles 60.00, 60.00, 60.00 degrees
Last column: magnetic moment on the atom in μB.
Fractional coordinates of all 4 atoms:
1 Cl 0.5000 0.5000 0.5000  0.00
2 Zr 0.0000 0.0000 0.0000  0.12
3 Zr 0.7500 0.7500 0.7500  0.35
4 Re 0.2500 0.2500 0.2500  -0.06



Computed, not measured: a relaxed Tb6NdDy2Tm crystal at the GGA-PBE level of DFT.

Results
Calculated total energy   -4.50 eV/atom
Mass density   8.15 g/cm3
Fermi-level density of states   27.67 states/eV per cell
Energy relative to the elements   0.12 eV/atom
Magnetization   0.0 μB/f.u.

Cell lengths 9.5417, 8.7947, 8.7947 Å; angles 117.72, 93.64, 93.64 degrees
Fractional coordinates of all 20 atoms:
1 Nd 0.7500 0.0249 0.9751
2 Nd 0.2500 0.9751 0.0249
3 Tb 0.5563 0.7515 0.1235
4 Tb 0.6845 0.0154 0.5656
5 Tb 0.0563 0.1235 0.7515
6 Tb 0.4437 0.2485 0.8765
7 Tb 0.9437 0.8765 0.2485
8 Tb 0.1186 0.7082 0.4915
9 Tb 0.6186 0.4915 0.7082
10 Tb 0.3155 0.9846 0.4344
11 Tb 0.8155 0.4344 0.9846
12 Tb 0.8814 0.2918 0.5085
13 Tb 0.3814 0.5085 0.2918
14 Tb 0.1845 0.5656 0.0154
15 Tm 0.7500 0.5902 0.4098
16 Tm 0.2500 0.4098 0.5902
17 Dy 0.0462 0.3047 0.2004
18 Dy 0.4538 0.7996 0.6953
19 Dy 0.5462 0.2004 0.3047
20 Dy 0.9538 0.6953 0.7996



Computed, not measured: a relaxed GdGaSnPd crystal at the GGA-PBE level of DFT.

Results
Calculated total energy   -7.20 eV/atom
Mass density   8.94 g/cm3
Fermi-level density of states   0.80 states/eV per cell
Energy relative to the elements   -0.62 eV/atom
Magnetization   7.0 μB/f.u.

Cell lengths 4.9156, 4.9156, 4.9156 Å; angles 60.00, 60.00, 60.00 degrees
Last column: magnetic moment on the atom in μB.
Fractional coordinates of all 4 atoms:
1 Ga 0.0000 0.0000 0.0000  0.01
2 Sn 0.2500 0.2500 0.2500  -0.01
3 Gd 0.7500 0.7500 0.7500  6.98
4 Pd 0.5000 0.5000 0.5000  -0.02



Computed, not measured: a relaxed InCoAs2 crystal at the GGA-PBE level of DFT.

Results
Calculated total energy   -4.62 eV/atom
Mass density   7.46 g/cm3
Fermi-level density of states   3.53 states/eV per cell
Energy relative to the elements   0.16 eV/atom
Magnetization   0.3 μB/f.u.

Cell lengths 2.9626, 2.9626, 8.2136 Å; angles 90.00, 90.00, 91.31 degrees
Last column: magnetic moment on the atom in μB.
Fractional coordinates of all 4 atoms:
1 In 0.5000 0.5000 0.7066  0.01
2 Co 0.0000 0.0000 0.4784  0.28
3 As 0.0000 0.0000 0.9927  -0.01
4 As 0.5000 0.5000 0.3222  -0.01



Computed, not measured: a relaxed Mn4SiAu crystal at the GGA-PBE level of DFT.

Results
Uncorrected formation energy   339 meV/atom
Calculated total energy   -7.22 eV/atom
Mass density   9.63 g/cm3
Fermi-level density of states   8.82 states/eV per cell
Magnetization   5.2 μB/f.u.

Cell lengths 4.7691, 4.7691, 4.7691 Å; angles 60.00, 60.00, 60.00 degrees
Last column: magnetic moment on the atom in μB.
Fractional coordinates of all 6 atoms:
1 Si 0.7500 0.7500 0.7500  -0.08
2 Au 0.0000 0.0000 0.0000  0.06
3 Mn 0.8716 0.3761 0.3761  1.29
4 Mn 0.3761 0.8716 0.3761  1.29
5 Mn 0.3761 0.3761 0.3761  1.29
6 Mn 0.3761 0.3761 0.8716  1.29



Computed, not measured: a relaxed Mg6CdPt2 crystal at the GGA-PBE level of DFT.

Results
Calculated total energy   -2.99 eV/atom
Mass density   5.83 g/cm3
Fermi-level density of states   7.53 states/eV per cell
Energy relative to the elements   -0.48 eV/atom
Magnetization   0.0 μB/f.u.

Cell lengths 7.8948, 7.8948, 7.8948 Å; angles 98.95, 114.68, 115.27 degrees
Fractional coordinates of all 18 atoms:
1 Pt 0.3222 0.0000 0.3222
2 Pt 0.5000 0.3616 0.8616
3 Pt 0.5000 0.6384 0.1384
4 Pt 0.6778 0.0000 0.6778
5 Mg 0.7926 0.2457 0.0383
6 Mg 0.7926 0.7543 0.5469
7 Mg 0.3082 0.9661 0.6579
8 Mg 0.2074 0.2457 0.4531
9 Mg 0.2074 0.7543 0.9617
10 Mg 0.8901 0.7018 0.1883
11 Mg 0.1099 0.2982 0.8117
12 Mg 0.3082 0.6503 0.3421
13 Mg 0.4864 0.2982 0.1883
14 Mg 0.6918 0.0339 0.3421
15 Mg 0.5136 0.7018 0.8117
16 Mg 0.6918 0.3497 0.6579
17 Cd 0.0000 0.5000 0.5000
18 Cd 0.0000 0.0000 0.0000



Computed, not measured: a relaxed K2Tm2US6 crystal at the GGA-PBE level of DFT.

Results
Uncorrected formation energy   -1751 meV/atom
Calculated total energy   -6.04 eV/atom
Mass density   4.54 g/cm3
Fermi-level density of states   6.73 states/eV per cell
Magnetization   2.0 μB/f.u.

Cell lengths 6.8920, 6.8920, 7.8736 Å; angles 98.45, 98.45, 120.05 degrees
Last column: magnetic moment on the atom in μB.
Fractional coordinates of all 11 atoms:
1 S 0.6027 0.9368 0.3060  -0.02
2 S 0.0632 0.3973 0.6940  -0.02
3 S 0.7346 0.7346 0.6935  -0.03
4 S 0.9368 0.6027 0.3060  -0.02
5 S 0.3973 0.0632 0.6940  -0.02
6 S 0.2654 0.2654 0.3065  -0.03
7 K 0.1681 0.8319 0.0000  0.00
8 K 0.8319 0.1681 0.0000  0.00
9 Tm 0.6666 0.3334 0.5000  0.01
10 Tm 0.3334 0.6666 0.5000  0.01
11 U 0.0000 0.0000 0.5000  2.02



Computed, not measured: a relaxed Pm3EuP crystal at the GGA-PBE level of DFT.

Results
Calculated total energy   -6.41 eV/atom
Mass density   5.82 g/cm3
Fermi-level density of states   14.88 states/eV per cell
Energy relative to the elements   -0.43 eV/atom
Magnetization   8.3 μB/f.u.

Cell lengths 5.6084, 5.6084, 5.6084 Å; angles 90.00, 90.00, 90.00 degrees
Last column: magnetic moment on the atom in μB.
Fractional coordinates of all 5 atoms:
1 Pm 0.5000 0.0000 0.0000  0.14
2 Pm 0.0000 0.5000 0.0000  0.14
3 Pm 0.0000 0.0000 0.5000  0.14
4 Eu 0.5000 0.5000 0.5000  6.94
5 P 0.0000 0.0000 0.0000  0.01



Computed, not measured: a relaxed Tb3PrY8 crystal at the GGA-PBE level of DFT.

Results
Calculated total energy   -5.21 eV/atom
Mass density   5.08 g/cm3
Fermi-level density of states   19.59 states/eV per cell
Energy relative to the elements   0.66 eV/atom
Magnetization   0.0 μB/f.u.

Cell lengths 8.4094, 8.4094, 8.4094 Å; angles 94.29, 117.55, 117.55 degrees
Fractional coordinates of all 12 atoms:
1 Y 0.0000 0.7328 0.2444
2 Y 0.5115 0.2672 0.2672
3 Y 0.0000 0.8717 0.6190
4 Y 0.2527 0.3810 0.3810
5 Y 0.0000 0.6190 0.8717
6 Y 0.7473 0.1283 0.1283
7 Y 0.4885 0.7556 0.7556
8 Y 0.0000 0.2444 0.7328
9 Tb 0.5000 0.2500 0.7500
10 Tb 0.0000 0.5000 0.5000
11 Tb 0.5000 0.7500 0.2500
12 Pr 0.0000 0.0000 0.0000



Computed, not measured: a relaxed Mg2CdPb8 crystal at the GGA-PBE level of DFT.

Results
Calculated total energy   -2.97 eV/atom
Mass density   8.49 g/cm3
Fermi-level density of states   5.26 states/eV per cell
Energy relative to the elements   0.10 eV/atom
Magnetization   0.0 μB/f.u.

Cell lengths 5.5111, 8.2295, 8.2295 Å; angles 75.32, 82.33, 82.33 degrees
Fractional coordinates of all 11 atoms:
1 Mg 0.4767 0.1239 0.1239
2 Mg 0.5233 0.8761 0.8761
3 Pb 0.2164 0.8122 0.3461
4 Pb 0.3390 0.3890 0.3890
5 Pb 0.2164 0.3461 0.8122
6 Pb 0.7836 0.6539 0.1878
7 Pb 0.0876 0.7560 0.7560
8 Pb 0.6610 0.6110 0.6110
9 Pb 0.9124 0.2440 0.2440
10 Pb 0.7836 0.1878 0.6539
11 Cd 0.0000 0.0000 0.0000



Computed, not measured: a relaxed Ac3HgP2Pt6 crystal at the GGA-PBE level of DFT.

Results
Calculated total energy   -5.86 eV/atom
Mass density   12.06 g/cm3
Fermi-level density of states   7.35 states/eV per cell
Energy relative to the elements   -0.88 eV/atom
Magnetization   0.0 μB/f.u.

Cell lengths 5.7276, 5.7276, 10.2471 Å; angles 90.00, 90.00, 120.00 degrees
Fractional coordinates of all 12 atoms:
1 Pt 0.3287 0.1643 0.7273
2 Pt 0.1643 0.3287 0.2727
3 Pt 0.6713 0.8357 0.2727
4 Pt 0.8357 0.6713 0.7273
5 Pt 0.1643 0.8357 0.2727
6 Pt 0.8357 0.1643 0.7273
7 Ac 0.0000 0.0000 0.0000
8 Ac 0.6667 0.3333 0.3930
9 Ac 0.3333 0.6667 0.6070
10 Hg 0.0000 0.0000 0.5000
11 P 0.6667 0.3333 0.8867
12 P 0.3333 0.6667 0.1133



Computed, not measured: a relaxed CoCuRh crystal at the GGA-PBE level of DFT.

Results
Calculated total energy   -6.02 eV/atom
Mass density   9.85 g/cm3
Fermi-level density of states   3.19 states/eV per cell
Energy relative to the elements   0.16 eV/atom
Magnetization   2.6 μB/f.u.

Cell lengths 4.1194, 4.1194, 2.5852 Å; angles 90.00, 90.00, 120.00 degrees
Last column: magnetic moment on the atom in μB.
Fractional coordinates of all 3 atoms:
1 Cu 0.3333 0.6667 0.2154  0.10
2 Co 0.0000 0.0000 0.1210  1.82
3 Rh 0.6667 0.3333 0.6636  0.72



Computed, not measured: a relaxed Ti3CdN crystal at the GGA-PBE level of DFT.

Results
Uncorrected formation energy   890 meV/atom
Calculated total energy   -5.69 eV/atom
Mass density   4.74 g/cm3
Fermi-level density of states   8.44 states/eV per cell
Magnetization   0.6 μB/f.u.

Cell lengths 3.9952, 3.9952, 13.6837 Å; angles 90.00, 90.00, 120.00 degrees
Last column: magnetic moment on the atom in μB.
Fractional coordinates of all 10 atoms:
1 Ti 0.3333 0.6667 0.9463  0.03
2 Ti 0.6667 0.3333 0.4463  0.03
3 Ti 0.3333 0.6667 0.5537  0.03
4 Ti 0.0000 0.0000 0.7500  0.41
5 Ti 0.0000 0.0000 0.2500  0.41
6 Ti 0.6667 0.3333 0.0537  0.02
7 N 0.0000 0.0000 0.0000  -0.01
8 N 0.0000 0.0000 0.5000  -0.01
9 Cd 0.3333 0.6667 0.7500  0.03
10 Cd 0.6667 0.3333 0.2500  0.03